{
  "formula": "ZrScIn2",
  "functional": "PBEsol",
  "state": "relaxed",
  "formation_energy_kj_per_mol_atoms": -40.4,
  "final_energy_ev_per_cell": -23.3,
  "relative_energy_ev_per_fu": 0.057,
  "sg": "No. 139",
  "cell": [[-2.213, 2.213, 4.328], [2.213, -2.213, 4.328], [2.213, 2.213, -4.328]],
  "species": ["Zr", "Sc", "In", "In"],
  "fractional_positions": [[0.000, 0.000, 0.000], [0.500, 0.500, 0.000], [0.250, 0.750, 0.500], [0.750, 0.250, 0.500]]
}

{
  "formula": "TaCr3Ag",
  "functional": "PBEsol",
  "state": "relaxed",
  "formation_energy_kj_per_mol_atoms": 188.4,
  "final_energy_ev_per_cell": -36.8,
  "sg": "No. 221",
  "cell": [[4.449, 0.000, 0.000], [0.000, 4.449, 0.000], [0.000, 0.000, 4.449]],
  "species": ["Ta", "Cr", "Cr", "Cr", "Ag"],
  "fractional_positions": [[0.000, 0.000, 0.000], [0.000, 0.000, 0.500], [0.000, 0.500, 0.000], [0.500, 0.000, 0.000], [0.500, 0.500, 0.500]]
}

{
  "formula": "Li2ZnPt",
  "functional": "PBEsol",
  "state": "relaxed",
  "formation_energy_kj_per_mol_atoms": -42.7,
  "final_energy_ev_per_cell": -14.2,
  "sg": "No. 123",
  "cell": [[3.685, 0.000, 0.000], [0.000, 3.685, 0.000], [0.000, 0.000, 3.928]],
  "species": ["Li", "Li", "Zn", "Pt"],
  "fractional_positions": [[0.000, 0.500, 0.000], [0.500, 0.000, 0.000], [0.000, 0.000, 0.500], [0.500, 0.500, 0.500]]
}

{
  "formula": "CsZrBr2",
  "functional": "PBEsol",
  "state": "relaxed",
  "final_energy_ev_per_cell": -15.1,
  "sg": "No. 225",
  "cell": [[0.000, 3.871, 3.871], [3.871, 0.000, 3.871], [3.871, 3.871, 0.000]],
  "species": ["Cs", "Zr", "Br", "Br"],
  "fractional_positions": [[0.000, 0.000, 0.000], [0.500, 0.500, 0.500], [0.250, 0.250, 0.250], [0.750, 0.750, 0.750]]
}

{
  "formula": "LiAlIr",
  "functional": "PBEsol",
  "state": "relaxed",
  "formation_energy_kj_per_mol_atoms": -23.1,
  "final_energy_ev_per_cell": -16.6,
  "sg": "No. 156",
  "cell": [[2.782, 0.000, 0.000], [-1.391, 2.409, 0.000], [0.000, 0.000, 6.472]],
  "species": ["Li", "Al", "Ir"],
  "fractional_positions": [[0.000, 0.000, 0.000], [0.333, 0.667, 0.631], [0.667, 0.333, 0.326]]
}

{
  "formula": "TaBeRe2Ag",
  "functional": "PBEsol",
  "state": "relaxed",
  "formation_energy_kj_per_mol_atoms": 187.5,
  "final_energy_ev_per_cell": -36.8,
  "sg": "No. 123",
  "cell": [[4.779, 0.000, 0.000], [0.000, 4.779, 0.000], [0.000, 0.000, 3.755]],
  "species": ["Ta", "Be", "Re", "Re", "Ag"],
  "fractional_positions": [[0.000, 0.000, 0.000], [0.500, 0.500, 0.000], [0.000, 0.500, 0.500], [0.500, 0.000, 0.500], [0.500, 0.500, 0.500]]
}